No. 1
Sr3GeW after structural relaxation. Source: Alexandria via LeMat-Bulk, functional PBE-GGA.

Excess energy over the best structure of this formula in the dataset ... 169 meV per atom
Crystal system ... cubic
ΔE_f ... 1101 meV/atom

```
Sr3GeW
1.0
5.758 0.000 0.000
0.000 5.758 0.000
0.000 0.000 5.758
Sr Ge W
3 1 1
Direct
0.000 0.000 0.500
0.000 0.500 0.000
0.500 0.000 0.000
0.500 0.500 0.500
0.000 0.000 0.000
```

***

No. 2
YTcB2 after structural relaxation. Source: Alexandria via LeMat-Bulk, functional PBE-GGA.

Excess energy over the best structure of this formula in the dataset ... 0 meV per atom
Crystal system ... orthorhombic
ΔE_f ... -564 meV/atom

```
YTcB2
1.0
5.974 0.000 0.000
0.000 5.305 0.000
0.000 0.000 6.450
Y Tc B
4 4 8
Direct
0.015 0.250 0.161
0.485 0.750 0.661
0.515 0.250 0.339
0.985 0.750 0.839
0.181 0.250 0.685
0.319 0.750 0.185
0.681 0.250 0.815
0.819 0.750 0.315
0.129 0.578 0.464
0.129 0.922 0.464
0.371 0.078 0.964
0.371 0.422 0.964
0.629 0.578 0.036
0.629 0.922 0.036
0.871 0.078 0.536
0.871 0.422 0.536
```